Below is an optimized crystal structure of LiNbIn2Pt, with properties calculated at the GGA-PBE level.

Output
E_tot = -3.4481 eV per atom
calculated density = 6.47 Mg/m³
ΔE_f = 1.2522 eV per atom
Fermi-level density of states = 4.85 states/eV per cell

Cell: 5.320 4.757 5.320 Å, 90.00 90.00 90.00°
Atoms (fractional coordinates):
Li: 0.000 0.500 0.000
Nb: 0.000 0.000 0.000
In: 0.500 0.000 0.000
In: 0.000 0.000 0.500
Pt: 0.500 0.500 0.500